1.
A relaxed PmEuPb2 crystal, computed with GGA-PBE.

Results
calculated total energy = -24.46 eV for the cell shown
symmetry = No. 123
ΔE_f = -506 meV per atom

abc: 4.551 5.185 5.185
angles: 90.00 90.00 90.00
Fractional coordinates of all 4 atoms:
Pb: 0.000 0.500 0.000
Pb: 0.000 0.000 0.500
Eu: 0.500 0.500 0.500
Pm: 0.500 0.000 0.000

=====

2.
A relaxed Zn2NiIr crystal, computed with GGA-PBE.

Results
calculated total energy = -32.59 eV for the cell shown
symmetry = No. 122
ΔE_f = 224 meV per atom

abc: 3.652 3.652 9.140
angles: 78.47 78.47 90.00
Fractional coordinates of all 8 atoms:
Zn: 0.875 0.872 0.750
Zn: 0.622 0.125 0.250
Zn: 0.375 0.378 0.750
Zn: 0.128 0.625 0.250
Ir: 0.750 0.250 0.500
Ir: 0.000 0.000 0.000
Ni: 0.500 0.500 0.000
Ni: 0.250 0.750 0.500

=====

3.
A relaxed Ba2Li2H4Rh crystal, computed with GGA-PBE.

Results
calculated total energy = -30.64 eV for the cell shown
symmetry = No. 139

abc: 5.853 5.853 5.853
angles: 99.08 114.90 114.90
Fractional coordinates of all 9 atoms:
Ba: 0.500 0.750 0.250
Ba: 0.500 0.250 0.750
H: 0.000 0.195 0.805
H: 0.610 0.805 0.805
H: 0.000 0.805 0.195
H: 0.390 0.195 0.195
Li: 0.000 0.669 0.669
Li: 0.000 0.331 0.331
Rh: 0.000 0.000 0.000

=====

4.
A relaxed LiBiSbI2 crystal, computed with GGA-PBE.

Results
offset from the most stable computed form = 0.0 meV/atom
calculated total energy = -12.63 eV for the cell shown
formation energy (no corrections) = 1.8 kcal/mol of atoms
symmetry = No. 123

abc: 6.346 6.346 5.878
angles: 90.00 90.00 90.00
Fractional coordinates of all 5 atoms:
Li: 0.500 0.500 0.500
I: 0.000 0.500 0.000
I: 0.500 0.000 0.000
Bi: 0.000 0.000 0.000
Sb: 0.000 0.000 0.500

=====

5.
A relaxed SiRu2Br crystal, computed with GGA-PBE.

Results
offset from the most stable computed form = 414.3 meV/atom
calculated total energy = -23.73 eV for the cell shown
formation energy (no corrections) = 11.1 kcal/mol of atoms
symmetry = No. 123

abc: 4.408 4.408 3.014
angles: 90.00 90.00 90.06
Fractional coordinates of all 4 atoms:
Br: 0.000 0.500 0.500
Ru: 0.500 0.500 0.000
Ru: 0.000 0.000 0.000
Si: 0.500 0.000 0.500

=====

6.
A relaxed Na3Tl8 crystal, computed with GGA-PBE.

Results
offset from the most stable computed form = 0.0 meV/atom
calculated total energy = -23.73 eV for the cell shown
symmetry = No. 12
ΔE_f = -77 meV per atom

abc: 4.776 6.025 12.625
angles: 104.56 90.00 113.35
Fractional coordinates of all 11 atoms:
Na: 0.910 0.819 0.358
Na: 0.000 0.000 0.000
Na: 0.090 0.181 0.642
Tl: 0.362 0.723 0.542
Tl: 0.542 0.084 0.820
Tl: 0.271 0.542 0.909
Tl: 0.729 0.458 0.091
Tl: 0.638 0.277 0.458
Tl: 0.458 0.916 0.180
Tl: 0.815 0.630 0.727
Tl: 0.185 0.370 0.273

=====

7.
A relaxed PrTmZnCd crystal, computed with GGA-PBE.

Results
offset from the most stable computed form = 33.2 meV/atom
calculated total energy = -12.59 eV for the cell shown
symmetry = No. 216
ΔE_f = -287 meV per atom

abc: 5.258 5.258 5.258
angles: 60.00 60.00 60.00
Fractional coordinates of all 4 atoms:
Tm: 0.500 0.500 0.500
Cd: 0.750 0.750 0.750
Zn: 0.250 0.250 0.250
Pr: 0.000 0.000 0.000

=====

8.
A relaxed Ta4BeTl crystal, computed with GGA-PBE.

Results
calculated total energy = -48.77 eV for the cell shown
symmetry = No. 216
ΔE_f = 788 meV per atom

abc: 5.501 5.501 5.501
angles: 60.00 60.00 60.00
Fractional coordinates of all 6 atoms:
Ta: 0.374 0.878 0.374
Ta: 0.878 0.374 0.374
Ta: 0.374 0.374 0.878
Ta: 0.374 0.374 0.374
Tl: 0.750 0.750 0.750
Be: 0.000 0.000 0.000

=====

9.
A relaxed In8Cu3Ag2 crystal, computed with GGA-PBE.

Results
calculated total energy = -39.36 eV for the cell shown
symmetry = No. 10
ΔE_f = 42 meV per atom

abc: 4.540 9.152 8.286
angles: 122.98 90.00 90.00
Fractional coordinates of all 13 atoms:
Cu: 0.000 0.762 0.004
Cu: 0.500 0.000 0.000
Cu: 0.000 0.238 0.996
In: 0.000 0.612 0.226
In: 0.000 0.871 0.744
In: 0.500 0.128 0.755
In: 0.500 0.872 0.245
In: 0.000 0.388 0.774
In: 0.500 0.370 0.236
In: 0.000 0.129 0.256
In: 0.500 0.630 0.764
Ag: 0.500 0.259 0.511
Ag: 0.500 0.741 0.489

=====

10.
A relaxed ScH2N crystal, computed with GGA-PBE.

Results
offset from the most stable computed form = 46.9 meV/atom
calculated total energy = -42.82 eV for the cell shown
symmetry = No. 122

abc: 3.142 3.142 7.107
angles: 77.23 77.23 90.00
Fractional coordinates of all 8 atoms:
N: 0.500 0.500 0.000
N: 0.250 0.750 0.500
Sc: 0.000 0.000 0.000
Sc: 0.750 0.250 0.500
H: 0.592 0.125 0.250
H: 0.158 0.625 0.250
H: 0.875 0.842 0.750
H: 0.375 0.408 0.750

=====

11.
A relaxed HfCd3 crystal, computed with GGA-PBE.

Results
calculated total energy = -12.47 eV for the cell shown
symmetry = No. 44
ΔE_f = 57 meV per atom

abc: 2.928 5.675 6.125
angles: 117.60 103.83 90.00
Fractional coordinates of all 4 atoms:
Hf: 0.000 0.010 0.000
Cd: 0.500 0.507 0.000
Cd: 0.745 0.070 0.491
Cd: 0.255 0.579 0.509

=====

12.
A relaxed Ta2ZnCr crystal, computed with GGA-PBE.

Results
calculated total energy = -33.78 eV for the cell shown
symmetry = No. 119
ΔE_f = 205 meV per atom

abc: 5.070 5.070 5.070
angles: 135.30 135.30 65.06
Fractional coordinates of all 4 atoms:
Ta: 0.000 0.000 0.000
Ta: 0.250 0.750 0.500
Cr: 0.750 0.250 0.500
Zn: 0.500 0.500 0.000

=====

13.
A relaxed Pm3Er2Al2 crystal, computed with GGA-PBE.

Results
calculated total energy = -31.21 eV for the cell shown
symmetry = No. 65
ΔE_f = -50 meV per atom

abc: 4.712 3.437 12.219
angles: 90.00 78.88 90.00
Fractional coordinates of all 7 atoms:
Er: 0.291 0.500 0.417
Er: 0.709 0.500 0.583
Pm: 0.135 0.000 0.730
Pm: 0.000 0.000 0.000
Pm: 0.865 0.000 0.270
Al: 0.433 0.500 0.133
Al: 0.567 0.500 0.867

=====

14.
A relaxed SrReAs2Br crystal, computed with GGA-PBE.

Results
offset from the most stable computed form = 0.0 meV/atom
calculated total energy = -26.31 eV for the cell shown
formation energy (no corrections) = -5.6 kcal/mol of atoms
symmetry = No. 123

abc: 4.797 4.797 5.633
angles: 90.00 90.00 90.00
Fractional coordinates of all 5 atoms:
Br: 0.000 0.000 0.500
Sr: 0.500 0.500 0.500
As: 0.500 0.000 0.000
As: 0.000 0.500 0.000
Re: 0.000 0.000 0.000

=====

15.
A relaxed MnCuTe2 crystal, computed with GGA-PBE.

Results
calculated total energy = -37.36 eV for the cell shown
formation energy (no corrections) = 5.0 kcal/mol of atoms
symmetry = No. 122

abc: 5.841 5.841 7.170
angles: 65.97 65.97 90.00
Fractional coordinates of all 8 atoms:
Te: 0.608 0.125 0.250
Te: 0.375 0.392 0.750
Te: 0.142 0.625 0.250
Te: 0.875 0.858 0.750
Cu: 0.750 0.250 0.500
Cu: 0.000 0.000 0.000
Mn: 0.250 0.750 0.500
Mn: 0.500 0.500 0.000

=====

16.
A relaxed B3AsSe crystal, computed with GGA-PBE.

Results
offset from the most stable computed form = 193.2 meV/atom
calculated total energy = -18.47 eV for the cell shown
formation energy (no corrections) = 44.7 kcal/mol of atoms
symmetry = No. 221

abc: 4.123 4.123 4.123
angles: 90.00 90.00 90.00
Fractional coordinates of all 5 atoms:
B: 0.000 0.500 0.000
B: 0.000 0.000 0.500
B: 0.500 0.000 0.000
Se: 0.000 0.000 0.000
As: 0.500 0.500 0.500

=====

17.
A relaxed Pr2As2Rh5 crystal, computed with GGA-PBE.

Results
calculated total energy = -62.21 eV for the cell shown
symmetry = No. 123
ΔE_f = -733 meV per atom

abc: 4.303 4.303 8.994
angles: 90.00 90.00 90.00
Fractional coordinates of all 9 atoms:
Rh: 0.500 0.500 0.500
Rh: 0.000 0.500 0.267
Rh: 0.000 0.500 0.733
Rh: 0.500 0.000 0.733
Rh: 0.500 0.000 0.267
As: 0.500 0.500 0.152
As: 0.500 0.500 0.848
Pr: 0.000 0.000 0.000
Pr: 0.000 0.000 0.500

=====

18.
A relaxed Pr4ZnHg crystal, computed with GGA-PBE.

Results
offset from the most stable computed form = 0.0 meV/atom
calculated total energy = -22.17 eV for the cell shown
symmetry = No. 123
ΔE_f = -246 meV per atom

abc: 3.777 3.777 12.810
angles: 90.00 90.00 90.00
Fractional coordinates of all 6 atoms:
Hg: 0.500 0.500 0.500
Pr: 0.000 0.000 0.656
Pr: 0.500 0.500 0.860
Pr: 0.500 0.500 0.140
Pr: 0.000 0.000 0.344
Zn: 0.000 0.000 0.000

=====

19.
A relaxed Pr8Nd2Er3 crystal, computed with GGA-PBE.

Results
offset from the most stable computed form = 37.5 meV/atom
calculated total energy = -58.96 eV for the cell shown
symmetry = No. 12
ΔE_f = 193 meV per atom

abc: 5.752 7.759 11.110
angles: 110.44 90.02 90.00
Fractional coordinates of all 13 atoms:
Pr: 0.000 0.871 0.742
Pr: 0.500 0.193 0.794
Pr: 0.500 0.400 0.206
Pr: 0.500 0.600 0.794
Pr: 0.500 0.807 0.206
Pr: 0.000 0.129 0.258
Pr: 0.999 0.328 0.657
Pr: 0.001 0.672 0.343
Er: 0.500 0.000 0.000
Er: 0.000 0.285 0.000
Er: 0.000 0.715 0.000
Nd: 0.501 0.760 0.521
Nd: 0.499 0.240 0.479

=====

20.
A relaxed SrZnCu2 crystal, computed with GGA-PBE.

Results
calculated total energy = -22.34 eV for the cell shown
symmetry = No. 141
ΔE_f = -6 meV per atom

abc: 4.788 4.788 9.046
angles: 74.65 74.65 90.00
Fractional coordinates of all 8 atoms:
Sr: 0.000 0.000 0.000
Sr: 0.750 0.250 0.500
Cu: 0.375 0.625 0.750
Cu: 0.375 0.125 0.250
Cu: 0.375 0.625 0.250
Cu: 0.875 0.625 0.750
Zn: 0.500 0.500 0.000
Zn: 0.250 0.750 0.500

=====

Number 1: magnetization 7.3 μB/cell. Number 2: magnetization 0.0 μB/cell. Number 3: magnetization 0.0 μB/cell. Number 4: magnetization 0.8 μB/cell. Number 5: magnetization 0.0 μB/cell. Number 6: magnetization 0.0 μB/cell. Number 7: magnetization 0.0 μB/cell. Number 8: magnetization 0.0 μB/cell. Number 9: magnetization 0.0 μB/cell. Number 10: magnetization 0.0 μB/cell. Number 11: magnetization 0.0 μB/cell. Number 12: magnetization 1.3 μB/cell. Number 13: magnetization 0.0 μB/cell. Number 14: magnetization 0.0 μB/cell. Number 15: magnetization 0.0 μB/cell. Number 16: magnetization 0.0 μB/cell. Number 17: magnetization 0.0 μB/cell. Number 18: magnetization 0.7 μB/cell. Number 19: magnetization 0.0 μB/cell. Number 20: magnetization 0.0 μB/cell.